1.
LiTmSc2 | Alexandria | GGA-PBE | optimized geometry; spin magnetization = 0.0 μB/cell; DOS(E_F) = 1.598 states/eV per atom; ΔH_f (0 K) = 0.145 eV/atom; crystal system = trigonal; offset from the most stable computed form = 30.6 meV per atom
1.0
3.300 0.000 0.000
1.650 2.858 0.000
1.650 0.953 10.654
Sc Li Tm
2 1 1
Direct
0.252 0.252 0.243
0.748 0.748 0.757
0.000 0.000 0.000
0.500 0.500 0.500

=====

2.
Li4TmSc | Alexandria | GGA-PBE | optimized geometry; spin magnetization = 0.0 μB/cell; DOS(E_F) = 0.806 states/eV per atom; ΔH_f (0 K) = 0.148 eV/atom; crystal system = cubic
1.0
5.679 0.000 0.000
2.840 4.919 0.000
2.840 1.640 4.637
Li Tm Sc
4 1 1
Direct
0.626 0.122 0.626
0.626 0.626 0.626
0.122 0.626 0.626
0.626 0.626 0.122
0.250 0.250 0.250
0.000 0.000 0.000

=====

3.
LiTmSc2 | Alexandria | GGA-PBE | optimized geometry; spin magnetization = 0.0 μB/cell; DOS(E_F) = 1.639 states/eV per atom; ΔH_f (0 K) = 0.219 eV/atom; crystal system = tetragonal; offset from the most stable computed form = 104.5 meV per atom
1.0
3.660 0.000 0.000
0.000 5.210 0.000
0.000 0.000 5.210
Sc Tm Li
2 1 1
Direct
0.000 0.000 0.500
0.000 0.500 0.000
0.500 0.000 0.000
0.500 0.500 0.500

=====

4.
LiTmSc2Zn4 | Alexandria | GGA-PBE | optimized geometry; spin magnetization = 0.0 μB/cell; DOS(E_F) = 0.808 states/eV per atom; ΔH_f (0 K) = -0.280 eV/atom; crystal system = trigonal
1.0
4.712 0.000 0.000
2.356 4.081 0.000
2.356 1.360 7.877
Zn Li Sc Tm
4 1 2 1
Direct
0.383 0.383 0.850
0.874 0.874 0.378
0.617 0.617 0.150
0.126 0.126 0.622
0.500 0.500 0.500
0.245 0.245 0.264
0.755 0.755 0.736
0.000 0.000 0.000

=====

5.
LiSc2V | Alexandria | GGA-PBE | optimized geometry; spin magnetization = 2.5 μB/cell; DOS(E_F) = 1.137 states/eV per atom; ΔH_f (0 K) = 0.186 eV/atom; crystal system = tetragonal; offset from the most stable computed form = 0.0 meV per atom
1.0
-2.506 -1.728 -1.369
1.553 -2.855 0.760
-3.522 -0.149 6.635
Sc V Li
2 1 1
Direct
0.000 0.000 0.214
0.000 0.000 0.786
0.500 0.500 0.000
0.500 0.500 0.500

=====

6.
LiScV3 | Alexandria | GGA-PBE | optimized geometry; spin magnetization = 6.9 μB/cell; DOS(E_F) = 1.225 states/eV per atom; ΔH_f (0 K) = 1.633 eV/atom; crystal system = cubic; offset from the most stable computed form = 549.6 meV per atom
1.0
-2.490 -2.817 2.860
3.319 -3.337 -0.398
2.258 1.799 3.739
Sc Li V
1 1 3
Direct
0.000 0.000 0.000
0.500 0.500 0.500
0.000 0.500 0.000
0.000 0.000 0.500
0.500 0.000 0.000

=====

7.
Li3ScV | Alexandria | GGA-PBE | optimized geometry; spin magnetization = 4.6 μB/cell; DOS(E_F) = 0.961 states/eV per atom; ΔH_f (0 K) = 0.884 eV/atom; crystal system = cubic; offset from the most stable computed form = 0.0 meV per atom
1.0
-3.664 -1.159 2.778
2.986 -0.848 3.585
-0.379 4.519 1.385
V Li Sc
1 3 1
Direct
0.000 0.000 0.000
0.000 0.500 0.000
0.000 0.000 0.500
0.500 0.000 0.000
0.500 0.500 0.500

=====

8.
LiSc2V | Alexandria | GGA-PBE | optimized geometry; spin magnetization = 3.3 μB/cell; DOS(E_F) = 1.283 states/eV per atom; ΔH_f (0 K) = 0.238 eV/atom; crystal system = cubic; offset from the most stable computed form = 52.6 meV per atom
1.0
1.194 -3.495 3.093
2.830 0.985 3.773
-1.836 -0.006 4.454
Li Sc V
1 2 1
Direct
0.000 0.000 0.000
0.250 0.250 0.250
0.750 0.750 0.750
0.500 0.500 0.500

=====

9.
LiScV3 | Alexandria | GGA-PBE | optimized geometry; spin magnetization = 0.0 μB/cell; DOS(E_F) = 1.949 states/eV per atom; ΔH_f (0 K) = 1.083 eV/atom; crystal system = cubic; offset from the most stable computed form = 0.0 meV per atom
1.0
4.299 0.000 0.000
0.000 4.299 0.000
0.000 0.000 4.299
V Sc Li
3 1 1
Direct
0.500 0.000 0.000
0.000 0.000 0.500
0.000 0.500 0.000
0.500 0.500 0.500
0.000 0.000 0.000

=====

10.
LiSc2V | Alexandria | GGA-PBE | optimized geometry; spin magnetization = 1.2 μB/cell; DOS(E_F) = 1.162 states/eV per atom; ΔH_f (0 K) = 0.531 eV/atom; crystal system = trigonal; offset from the most stable computed form = 345.1 meV per atom
1.0
2.104 -3.389 10.095
1.044 -5.918 9.040
3.881 -5.247 8.674
V Sc Li
1 2 1
Direct
0.000 0.000 0.000
0.917 0.917 0.917
0.083 0.083 0.083
0.500 0.500 0.500

=====

11.
LiSc2V | Alexandria | GGA-PBE | optimized geometry; spin magnetization = 5.1 μB/cell; DOS(E_F) = 1.271 states/eV per atom; ΔH_f (0 K) = 0.712 eV/atom; crystal system = tetragonal; offset from the most stable computed form = 525.9 meV per atom
1.0
-1.880 -2.836 -2.252
3.233 -2.457 0.396
-3.361 -6.609 7.433
Sc Li V
4 2 2
Direct
0.626 0.125 0.250
0.124 0.625 0.250
0.375 0.374 0.750
0.875 0.876 0.750
0.500 0.500 0.000
0.250 0.750 0.500
0.750 0.250 0.500
0.000 0.000 0.000

=====

12.
LiScW2 | Alexandria | GGA-PBE | optimized geometry; spin magnetization = 0.0 μB/cell; DOS(E_F) = 0.784 states/eV per atom; ΔH_f (0 K) = 0.448 eV/atom; crystal system = tetragonal; offset from the most stable computed form = 163.6 meV per atom
1.0
2.691 0.000 0.000
0.000 2.691 0.000
0.000 0.000 9.407
W Sc Li
2 1 1
Direct
0.000 0.000 0.003
0.000 0.000 0.497
0.500 0.500 0.750
0.500 0.500 0.250

=====

13.
LiScW | Alexandria | GGA-PBE | optimized geometry; spin magnetization = 0.0 μB/cell; DOS(E_F) = 0.937 states/eV per atom; ΔH_f (0 K) = 0.505 eV/atom; crystal system = orthorhombic; offset from the most stable computed form = 154.5 meV per atom
1.0
5.263 0.056 -0.051
2.982 4.337 0.051
-3.705 -2.982 2.257
W Sc Li
1 1 1
Direct
0.660 0.660 0.000
0.333 0.333 0.000
0.007 0.007 0.000

=====

14.
LiSc2W | Alexandria | GGA-PBE | optimized geometry; spin magnetization = 0.0 μB/cell; DOS(E_F) = 0.519 states/eV per atom; ΔH_f (0 K) = 0.280 eV/atom; crystal system = monoclinic; offset from the most stable computed form = 75.3 meV per atom
1.0
-4.686 -1.333 -2.335
-2.607 -1.517 -4.482
-0.149 -5.087 0.292
Sc Li W
2 1 1
Direct
0.772 0.772 0.680
0.983 0.983 0.057
0.228 0.228 0.218
0.517 0.517 0.545

=====

15.
LiScW2 | Alexandria | GGA-PBE | optimized geometry; spin magnetization = 0.0 μB/cell; DOS(E_F) = 0.365 states/eV per atom; ΔH_f (0 K) = 0.435 eV/atom; crystal system = orthorhombic; offset from the most stable computed form = 151.0 meV per atom
1.0
2.700 0.000 0.000
0.000 4.745 0.000
0.000 0.000 5.368
W Sc Li
2 1 1
Direct
0.000 0.000 0.992
0.000 0.000 0.508
0.500 0.500 0.750
0.500 0.500 0.250

=====

16.
LiScW2 | Alexandria | GGA-PBE | optimized geometry; spin magnetization = 0.0 μB/cell; DOS(E_F) = 0.660 states/eV per atom; ΔH_f (0 K) = 0.432 eV/atom; crystal system = tetragonal; offset from the most stable computed form = 147.8 meV per atom
1.0
-2.499 0.973 0.378
-1.027 -2.467 -0.439
0.660 -1.937 9.339
W Sc Li
2 1 1
Direct
0.000 0.000 0.006
0.500 0.500 0.248
0.500 0.500 0.763
0.000 0.000 0.484

=====

17.
LiSc2W | Alexandria | GGA-PBE | optimized geometry; spin magnetization = 0.0 μB/cell; DOS(E_F) = 1.097 states/eV per atom; ΔH_f (0 K) = 0.382 eV/atom; crystal system = tetragonal; offset from the most stable computed form = 177.8 meV per atom
1.0
-2.200 1.416 1.099
-1.601 -2.335 -0.196
2.754 -2.634 8.906
Sc W Li
2 1 1
Direct
0.000 0.000 0.989
0.500 0.500 0.279
0.000 0.000 0.504
0.500 0.500 0.727

=====

18.
LiScW2 | Alexandria | GGA-PBE | optimized geometry; spin magnetization = 0.3 μB/cell; DOS(E_F) = 0.860 states/eV per atom; ΔH_f (0 K) = 0.440 eV/atom; crystal system = orthorhombic; offset from the most stable computed form = 156.4 meV per atom
1.0
-1.855 -1.280 -1.431
-0.803 -2.587 3.357
-4.195 3.867 1.978
W Sc Li
2 1 1
Direct
0.500 0.500 0.235
0.000 0.000 0.028
0.500 0.500 0.746
0.000 0.000 0.491

=====

19.
LiSc2W | Alexandria | GGA-PBE | optimized geometry; spin magnetization = 1.0 μB/cell; DOS(E_F) = 1.250 states/eV per atom; ΔH_f (0 K) = 0.424 eV/atom; crystal system = trigonal; offset from the most stable computed form = 219.5 meV per atom
1.0
-7.401 5.141 -5.299
-6.739 3.099 -7.366
-8.712 2.465 -5.225
W Li Sc
1 1 2
Direct
0.500 0.500 0.500
0.756 0.756 0.756
0.243 0.243 0.243
0.000 0.000 0.000

=====

20.
LiScW2 | Alexandria | GGA-PBE | optimized geometry; spin magnetization = 0.0 μB/cell; DOS(E_F) = 0.618 states/eV per atom; ΔH_f (0 K) = 0.348 eV/atom; crystal system = orthorhombic; offset from the most stable computed form = 63.6 meV per atom
1.0
-4.552 2.396 1.937
-3.915 -0.177 3.855
0.775 2.633 3.275
Sc Li W
1 1 2
Direct
0.250 0.250 0.250
0.750 0.750 0.750
0.007 0.007 0.993
0.493 0.493 0.507

=====

21.
LiScW2 | Alexandria | GGA-PBE | optimized geometry; spin magnetization = 0.0 μB/cell; DOS(E_F) = 0.233 states/eV per atom; ΔH_f (0 K) = 0.663 eV/atom; crystal system = tetragonal; offset from the most stable computed form = 378.9 meV per atom
1.0
-1.493 -2.476 2.416
-1.992 -1.536 -2.805
5.729 -8.316 -2.045
W Li Sc
4 2 2
Direct
0.120 0.625 0.250
0.375 0.370 0.750
0.875 0.880 0.750
0.630 0.125 0.250
0.250 0.750 0.500
0.500 0.500 0.000
0.750 0.250 0.500
0.000 0.000 0.000

=====

22.
LiScW2 | Alexandria | GGA-PBE | optimized geometry; spin magnetization = 0.0 μB/cell; DOS(E_F) = 0.852 states/eV per atom; ΔH_f (0 K) = 0.433 eV/atom; crystal system = orthorhombic; offset from the most stable computed form = 148.8 meV per atom
1.0
-0.543 2.646 0.133
-1.577 -1.074 1.917
7.023 1.119 6.404
Sc Li W
1 1 2
Direct
0.500 0.500 0.750
0.500 0.500 0.250
0.000 0.000 0.002
0.000 0.000 0.498

=====

23.
LiSc2W | Alexandria | GGA-PBE | optimized geometry; spin magnetization = 0.0 μB/cell; DOS(E_F) = 0.979 states/eV per atom; ΔH_f (0 K) = 0.299 eV/atom; crystal system = trigonal; offset from the most stable computed form = 94.6 meV per atom
1.0
10.320 -0.002 -0.001
9.873 3.004 -0.001
9.873 1.468 2.621
Li W Sc
1 1 2
Direct
0.750 0.750 0.750
0.250 0.250 0.250
0.507 0.507 0.507
0.993 0.993 0.993

=====

24.
LiSc2W | Alexandria | GGA-PBE | optimized geometry; spin magnetization = 0.0 μB/cell; DOS(E_F) = 1.246 states/eV per atom; ΔH_f (0 K) = 0.495 eV/atom; crystal system = tetragonal; offset from the most stable computed form = 290.7 meV per atom
1.0
3.582 0.000 0.000
0.000 3.582 0.000
0.000 0.000 5.985
Sc W Li
2 1 1
Direct
0.000 0.000 0.990
0.500 0.500 0.294
0.000 0.000 0.486
0.500 0.500 0.731

=====

25.
LiScW2 | Alexandria | GGA-PBE | optimized geometry; spin magnetization = 0.0 μB/cell; DOS(E_F) = 1.685 states/eV per atom; ΔH_f (0 K) = 0.954 eV/atom; crystal system = cubic; offset from the most stable computed form = 670.4 meV per atom
1.0
-3.652 -2.631 0.330
-4.029 1.831 0.885
-3.173 0.131 -3.207
W Li Sc
2 1 1
Direct
0.750 0.750 0.750
0.250 0.250 0.250
0.000 0.000 0.000
0.500 0.500 0.500

=====

26.
LiScW | Alexandria | GGA-PBE | optimized geometry; spin magnetization = 0.0 μB/cell; DOS(E_F) = 0.725 states/eV per atom; ΔH_f (0 K) = 0.450 eV/atom; crystal system = trigonal; offset from the most stable computed form = 99.9 meV per atom
1.0
4.761 0.000 0.000
-2.380 4.123 0.000
0.000 0.000 2.623
Sc Li W
1 1 1
Direct
0.333 0.667 0.248
0.000 0.000 0.035
0.667 0.333 0.718

=====

27.
LiSc2W | Alexandria | GGA-PBE | optimized geometry; spin magnetization = 0.0 μB/cell; DOS(E_F) = 0.975 states/eV per atom; ΔH_f (0 K) = 0.291 eV/atom; crystal system = tetragonal; offset from the most stable computed form = 86.5 meV per atom
1.0
-2.256 1.804 0.896
-2.958 -4.019 0.645
1.575 -0.395 4.763
Li W Sc
1 1 2
Direct
0.500 0.000 0.500
0.500 0.500 0.000
0.000 0.000 0.000
0.000 0.500 0.500

=====

28.
LiSc2W | Alexandria | GGA-PBE | optimized geometry; spin magnetization = 0.0 μB/cell; DOS(E_F) = 0.987 states/eV per atom; ΔH_f (0 K) = 0.364 eV/atom; crystal system = orthorhombic; offset from the most stable computed form = 159.7 meV per atom
1.0
2.860 0.007 0.000
-0.770 2.754 0.000
0.000 0.000 9.904
Li Sc W
1 2 1
Direct
0.500 0.500 0.728
0.500 0.500 0.278
0.000 0.000 0.993
0.000 0.000 0.501

=====

29.
LiSc2W | Alexandria | GGA-PBE | optimized geometry; spin magnetization = 0.0 μB/cell; DOS(E_F) = 1.200 states/eV per atom; ΔH_f (0 K) = 0.539 eV/atom; crystal system = orthorhombic; offset from the most stable computed form = 334.7 meV per atom
1.0
-1.758 1.733 2.195
-1.600 -4.320 2.129
3.524 0.062 2.774
Li Sc W
1 2 1
Direct
0.000 0.500 0.500
0.000 0.000 0.000
0.500 0.500 0.000
0.500 0.000 0.500

=====

30.
LiScW2 | Alexandria | GGA-PBE | optimized geometry; spin magnetization = 0.0 μB/cell; DOS(E_F) = 0.666 states/eV per atom; ΔH_f (0 K) = 0.284 eV/atom; crystal system = tetragonal; offset from the most stable computed form = 0.0 meV per atom
1.0
4.525 -0.023 -0.021
0.016 4.525 0.021
-2.255 -2.266 3.202
W Sc Li
2 1 1
Direct
0.750 0.250 0.500
0.000 0.000 0.000
0.250 0.750 0.500
0.500 0.500 0.000